*i*
# Co2SnI (PBE-GGA, optimized geometry)
# size of the total moment: 6.72 μB/cell
data_Co2SnI
_chemical_formula_sum 'Co8 Sn4 I4'
_cell_length_a 6.5522
_cell_length_b 6.5522
_cell_length_c 6.5522
_cell_angle_alpha 90.00
_cell_angle_beta 90.00
_cell_angle_gamma 90.00
_space_group_name_H-M_alt 'F m -3 m'
_space_group_IT_number 225
_space_group_name_Hall '-F 4 2 3'
loop_
_atom_site_label
_atom_site_type_symbol
_atom_site_fract_x
_atom_site_fract_y
_atom_site_fract_z
_atom_site_occupancy
Co1 Co 0.2500 0.2500 0.2500 1
Sn1 Sn 0.0000 0.0000 0.0000 1
I1 I 0.0000 0.0000 0.5000 1

***

*ii*
# Co2SnI (PBE-GGA, optimized geometry)
# size of the total moment: 9.16 μB/cell
data_Co2SnI
_chemical_formula_sum 'Co8 Sn4 I4'
_cell_length_a 6.0275
_cell_length_b 6.0275
_cell_length_c 10.5217
_cell_angle_alpha 90.00
_cell_angle_beta 90.00
_cell_angle_gamma 90.00
_space_group_name_H-M_alt 'I -4 2 d'
_space_group_IT_number 122
_space_group_name_Hall 'I -4 2bw'
loop_
_atom_site_label
_atom_site_type_symbol
_atom_site_fract_x
_atom_site_fract_y
_atom_site_fract_z
_atom_site_occupancy
Co1 Co 0.2429 0.2500 0.1250 1
Sn1 Sn 0.0000 0.0000 0.5000 1
I1 I 0.0000 0.0000 0.0000 1

***

Ordering by calculated energy gives the sequence *ii*, *i*, with the first entry being the most stable.

***

*i*
# SrCo3I (PBE-GGA, optimized geometry)
# size of the total moment: 4.01 μB/cell
data_SrCo3I
_chemical_formula_sum 'Sr1 Co3 I1'
_cell_length_a 5.0354
_cell_length_b 5.0354
_cell_length_c 5.0354
_cell_angle_alpha 90.00
_cell_angle_beta 90.00
_cell_angle_gamma 90.00
_space_group_name_H-M_alt 'P m -3 m'
_space_group_IT_number 221
_space_group_name_Hall '-P 4 2 3'
loop_
_atom_site_label
_atom_site_type_symbol
_atom_site_fract_x
_atom_site_fract_y
_atom_site_fract_z
_atom_site_occupancy
Sr1 Sr 0.0000 0.0000 0.0000 1
Co1 Co 0.0000 0.0000 0.5000 1
I1 I 0.5000 0.5000 0.5000 1

***

*ii*
# SrCo3I (PBE-GGA, optimized geometry)
# size of the total moment: 2.15 μB/cell
data_SrCo3I
_chemical_formula_sum 'Sr1 Co3 I1'
_cell_length_a 4.7236
_cell_length_b 4.7236
_cell_length_c 4.7236
_cell_angle_alpha 90.00
_cell_angle_beta 90.00
_cell_angle_gamma 90.00
_space_group_name_H-M_alt 'P m -3 m'
_space_group_IT_number 221
_space_group_name_Hall '-P 4 2 3'
loop_
_atom_site_label
_atom_site_type_symbol
_atom_site_fract_x
_atom_site_fract_y
_atom_site_fract_z
_atom_site_occupancy
Sr1 Sr 0.0000 0.0000 0.0000 1
Co1 Co 0.0000 0.5000 0.5000 1
I1 I 0.5000 0.5000 0.5000 1

***

Ordering by calculated energy gives the sequence *ii*, *i*, with the first entry being the most stable.